(1)
{"formula": "CaRh2BrF", "functional": "SCAN", "state": "PBEsol geometry", "space_group": "P4/mmm (123)", "formation_energy_uncorrected_kj_per_mol_atoms": -41, "m_tot_mub_per_cell": 0.594, "cell": [[4.052, 0.000, 0.000], [0.000, 4.052, 0.000], [0.000, 0.000, 5.598]], "species": ["Ca", "Rh", "Rh", "Br", "F"], "frac_coords": [[0.000, 0.000, 0.000], [0.000, 0.500, 0.500], [0.500, 0.000, 0.500], [0.500, 0.500, 0.000], [0.500, 0.500, 0.500]]}

---

(2)
{"formula": "CaRu2BrF", "functional": "SCAN", "state": "PBEsol geometry", "space_group": "P4/mmm (123)", "formation_energy_uncorrected_kj_per_mol_atoms": -5, "m_tot_mub_per_cell": 2.659, "cell": [[4.040, 0.000, 0.000], [0.000, 4.040, 0.000], [0.000, 0.000, 5.624]], "species": ["Ca", "Ru", "Ru", "Br", "F"], "frac_coords": [[0.000, 0.000, 0.000], [0.000, 0.500, 0.500], [0.500, 0.000, 0.500], [0.500, 0.500, 0.000], [0.500, 0.500, 0.500]]}

---

(3)
{"formula": "CaSe2BrF", "functional": "SCAN", "state": "PBEsol geometry", "space_group": "P4/mmm (123)", "formation_energy_uncorrected_kj_per_mol_atoms": -88, "m_tot_mub_per_cell": 0.000, "cell": [[4.352, 0.000, 0.000], [0.000, 4.352, 0.000], [0.000, 0.000, 5.803]], "species": ["Ca", "Se", "Se", "Br", "F"], "frac_coords": [[0.000, 0.000, 0.000], [0.000, 0.500, 0.500], [0.500, 0.000, 0.500], [0.500, 0.500, 0.000], [0.500, 0.500, 0.500]]}

---

(4)
{"formula": "Ca3Fe2Br2O5", "functional": "SCAN", "state": "PBEsol geometry", "space_group": "I4/mmm (139)", "formation_energy_uncorrected_kj_per_mol_atoms": -224, "m_tot_mub_per_cell": 8.718, "cell": [[-1.900, 1.900, 12.531], [1.900, -1.900, 12.531], [1.900, 1.900, -12.531]], "species": ["Ca", "Ca", "Ca", "Fe", "Fe", "Br", "Br", "O", "O", "O", "O", "O"], "frac_coords": [[0.000, 0.000, 0.000], [0.137, 0.137, 0.000], [0.863, 0.863, 0.000], [0.426, 0.426, 0.000], [0.574, 0.574, 0.000], [0.307, 0.307, 0.000], [0.693, 0.693, 0.000], [0.081, 0.581, 0.500], [0.419, 0.919, 0.500], [0.500, 0.500, 0.000], [0.581, 0.081, 0.500], [0.919, 0.419, 0.500]]}

---

(5)
{"formula": "CaYFe2Br", "functional": "SCAN", "state": "PBEsol geometry", "space_group": "P4/mmm (123)", "formation_energy_uncorrected_kj_per_mol_atoms": 57, "m_tot_mub_per_cell": 4.636, "cell": [[4.557, 0.000, 0.000], [0.000, 4.557, 0.000], [0.000, 0.000, 5.181]], "species": ["Ca", "Y", "Fe", "Fe", "Br"], "frac_coords": [[0.000, 0.000, 0.000], [0.500, 0.500, 0.000], [0.000, 0.500, 0.500], [0.500, 0.000, 0.500], [0.500, 0.500, 0.500]]}

---

(6)
{"formula": "CaGaIr2Br", "functional": "SCAN", "state": "PBEsol geometry", "space_group": "P4/mmm (123)", "formation_energy_uncorrected_kj_per_mol_atoms": 98, "m_tot_mub_per_cell": 0.000, "cell": [[4.655, 0.000, 0.000], [0.000, 4.655, 0.000], [0.000, 0.000, 5.118]], "species": ["Ca", "Ga", "Ir", "Ir", "Br"], "frac_coords": [[0.000, 0.000, 0.000], [0.500, 0.500, 0.000], [0.000, 0.500, 0.500], [0.500, 0.000, 0.500], [0.500, 0.500, 0.500]]}

---

(7)
{"formula": "Ca2GaReBr", "functional": "SCAN", "state": "PBEsol geometry", "space_group": "P4/mmm (123)", "de_polymorph_mev_per_atom": 516, "formation_energy_uncorrected_kj_per_mol_atoms": 106, "m_tot_mub_per_cell": 4.025, "cell": [[5.589, 0.000, 0.000], [0.000, 5.589, 0.000], [0.000, 0.000, 5.214]], "species": ["Ca", "Ca", "Ga", "Re", "Br"], "frac_coords": [[0.000, 0.500, 0.000], [0.500, 0.000, 0.000], [0.000, 0.000, 0.000], [0.500, 0.500, 0.500], [0.000, 0.000, 0.500]]}

---

(8)
{"formula": "Ca2GaReBr", "functional": "SCAN", "state": "PBEsol geometry", "space_group": "P4/mmm (123)", "de_polymorph_mev_per_atom": 0, "formation_energy_uncorrected_kj_per_mol_atoms": 56, "m_tot_mub_per_cell": 0.008, "cell": [[5.359, 0.000, 0.000], [0.000, 5.359, 0.000], [0.000, 0.000, 4.536]], "species": ["Ca", "Ca", "Ga", "Re", "Br"], "frac_coords": [[0.000, 0.500, 0.000], [0.500, 0.000, 0.000], [0.000, 0.000, 0.500], [0.500, 0.500, 0.500], [0.500, 0.500, 0.000]]}